Compound: ReWAu2
Source: Alexandria via LeMat-Bulk
Functional: PBE-GGA
Structure: optimized geometry

Values from the calculation:
Spin magnetization (μB/f.u.): 0.00
Offset from the most stable computed form (meV per atom): 241.8
Energy of formation (eV/atom): 0.54
Calculated total energy (eV/atom): -7.45

a b c (Å): 5.4719 8.6707 2.7694
angles (deg): 90.00 90.00 90.00
Space group Cmmm (No. 65)
One atom of each set of equivalent atoms:
Re: 0.0000 0.0000 0.0000 x2
W: 0.0000 0.5000 0.0000 x2
Au: 0.2500 0.2500 0.5000 x4

Compound: Ag3HgAu
Source: Alexandria via LeMat-Bulk
Functional: PBE-GGA
Structure: optimized geometry

Values from the calculation:
Spin magnetization (μB/f.u.): 0.00
Offset from the most stable computed form (meV per atom): 541.4
Energy of formation (eV/atom): 0.55
Calculated total energy (eV/atom): -1.88

a b c (Å): 5.2107 5.2107 5.2107
angles (deg): 90.00 90.00 90.00
Space group Pm-3m (No. 221)
One atom of each set of equivalent atoms:
Ag: 0.0000 0.0000 0.5000 x3
Hg: 0.5000 0.5000 0.5000 x1
Au: 0.0000 0.0000 0.0000 x1

Compound: CuMo2Ru
Source: Alexandria via LeMat-Bulk
Functional: PBE-GGA
Structure: optimized geometry

Values from the calculation:
Spin magnetization (μB/f.u.): 0.00
Offset from the most stable computed form (meV per atom): 149.0
Energy of formation (eV/atom): 0.26
Calculated total energy (eV/atom): -8.50

a b c (Å): 6.1598 6.1598 6.1598
angles (deg): 90.00 90.00 90.00
Space group F-43m (No. 216)
One atom of each set of equivalent atoms:
Cu: 0.0000 0.0000 0.0000 x4
Mo: 0.0000 0.0000 0.5000 x4
Mo: 0.2500 0.2500 0.7500 x4
Ru: 0.2500 0.2500 0.2500 x4